(1)
DFT (PBE) results for a geometry-optimized Sc2MnTl3Te6 structure.

Values from the calculation:
Final energy ... -4.65 eV/atom
Formation energy (no corrections) ... -0.669 eV per atom
Crystal system ... monoclinic
Total magnetic moment ... 4.3 μB/f.u.

Cell: 7.351 7.351 8.320 Å, 98.46 98.46 120.04°
Site moments in Bohr magnetons follow the coordinates.
Fractional positions:
Tl 0.500 0.500 0.500  0.00
Tl 0.826 0.174 0.500  0.01
Tl 0.174 0.826 0.500  0.01
Te 0.390 0.065 0.198  -0.01
Te 0.610 0.935 0.802  -0.01
Te 0.256 0.256 0.796  -0.02
Te 0.065 0.390 0.198  -0.01
Te 0.744 0.744 0.204  -0.02
Te 0.935 0.610 0.802  -0.01
Sc 0.335 0.665 0.000  0.04
Sc 0.665 0.335 0.000  0.04
Mn 0.000 0.000 0.000  3.93

(2)
DFT (PBE) results for a geometry-optimized Sc2MnTlTe structure.

Values from the calculation:
Final energy ... -4.55 eV/atom
Formation energy (no corrections) ... 0.915 eV per atom
Crystal system ... tetragonal
Total magnetic moment ... 4.1 μB/f.u.

Cell: 5.390 5.818 5.390 Å, 90.00 90.00 90.00°
Site moments in Bohr magnetons follow the coordinates.
Fractional positions:
Te 0.000 0.500 0.000  0.03
Mn 0.500 0.500 0.500  4.40
Sc 0.500 0.000 0.000  -0.20
Sc 0.000 0.000 0.500  -0.22
Tl 0.000 0.000 0.000  -0.01